Mg4PSe6 | Alexandria via LeMat-Bulk | PBE-GGA | relaxed; Fermi-level density of states = 3.001 states/eV/cell; SG = Cc; energy = -84.190 eV/cell; E_form (uncorrected) = -0.8545 eV per atom
1.0
6.9343 0.0000 2.0938
3.1738 6.3049 2.0183
-0.0335 -0.0190 12.6404
Mg P Se
8 2 12
direct
0.2998 0.9730 0.6461
0.0811 0.4730 0.1461
0.7673 0.2263 0.4579
0.5485 0.7263 0.9579
0.9350 0.6584 0.6485
0.7582 0.1584 0.1485
0.6577 0.2439 0.8023
0.2962 0.7439 0.3023
0.6927 0.7888 0.4030
0.1154 0.2888 0.9030
0.4140 0.5249 0.1416
0.9195 0.0249 0.6416
0.4777 0.6178 0.4808
0.4237 0.1178 0.9808
0.4574 0.1382 0.4508
0.9537 0.6382 0.9508
0.9535 0.0565 0.9452
0.0447 0.5565 0.4452
0.0140 0.1474 0.2634
0.5752 0.6474 0.7634
0.2660 0.3110 0.7146
0.7084 0.8110 0.2146

Tm8Mg2Ag | Alexandria via LeMat-Bulk | PBE-GGA | relaxed; energy relative to the elements = 20 meV/atom; Fermi-level density of states = 12.053 states/eV/cell; SG = C2/m; energy = -41.591 eV/cell
1.0
-3.9235 -2.9718 -1.9950
3.6535 -0.8130 -5.9741
4.0549 -4.9401 6.4534
Tm Mg Ag
8 2 1
direct
0.4033 0.5563 0.8065
0.6601 0.9464 0.3202
0.8101 0.7376 0.6203
0.9792 0.2292 0.9584
0.1899 0.2624 0.3797
0.3399 0.0536 0.6798
0.5967 0.4437 0.1935
0.0208 0.7708 0.0416
0.8129 0.3064 0.6257
0.1871 0.6936 0.3743
0.5000 0.0000 0.0000

Cs2CdIn4Sn3 | Alexandria via LeMat-Bulk | PBE-GGA | relaxed; energy relative to the elements = -149 meV/atom; Fermi-level density of states = 4.465 states/eV/cell; SG = P-4m2; energy = -27.074 eV/cell
1.0
-0.9185 5.1585 0.2722
-1.5799 -0.0173 -5.0032
-11.5209 -2.2438 3.6457
Cs Cd In Sn
2 1 4 3
direct
0.5000 0.0000 0.2468
0.0000 0.5000 0.7532
0.5000 0.5000 0.5000
0.5000 0.5000 0.0000
0.0000 0.0000 0.0000
0.5000 0.0000 0.6272
0.0000 0.5000 0.3728
0.0000 0.0000 0.5000
0.5000 0.0000 0.8714
0.0000 0.5000 0.1286

ZrCo5Sb3 | Alexandria via LeMat-Bulk | PBE-GGA | relaxed; Fermi-level density of states = 15.887 states/eV/cell; SG = P6_3/mcm; energy = -113.015 eV/cell; E_form (uncorrected) = -0.0070 eV per atom
1.0
-1.2541 2.1681 -7.1274
6.7063 -2.8817 1.9472
-1.8280 -5.0812 -1.2240
Sb Co Zr
6 10 2
direct
0.0000 0.3512 0.2500
0.6488 0.6488 0.2500
0.3512 0.0000 0.2500
0.0000 0.6488 0.7500
0.3512 0.3512 0.7500
0.6488 0.0000 0.7500
0.0000 0.6712 0.2500
0.3288 0.3288 0.2500
0.6712 0.0000 0.2500
0.0000 0.3288 0.7500
0.6712 0.6712 0.7500
0.3288 0.0000 0.7500
0.6667 0.3333 0.0000
0.3333 0.6667 0.5000
0.3333 0.6667 0.0000
0.6667 0.3333 0.5000
0.0000 0.0000 0.0000
0.0000 0.0000 0.5000

Cu2HgCl6 | Alexandria via LeMat-Bulk | PBE-GGA | relaxed; Fermi-level density of states = 11.168 states/eV/cell; SG = C2/c; distance to the lowest polymorph of the same formula = 0.0559 eV/atom; energy = -46.566 eV/cell; E_form (uncorrected) = -0.4121 eV per atom
1.0
-3.3799 -5.2167 -2.7160
4.1187 -9.8253 -0.7622
-6.2226 -6.5112 5.7415
Cu Hg Cl
4 2 12
direct
0.2974 0.4833 0.6715
0.2026 0.3285 0.5167
0.7026 0.5167 0.3285
0.7974 0.6715 0.4833
0.2500 0.0799 0.9201
0.7500 0.9201 0.0799
0.4062 0.6729 0.5392
0.0938 0.4608 0.3271
0.5938 0.3271 0.4608
0.9062 0.5392 0.6729
0.7775 0.8848 0.4085
0.7225 0.5915 0.1152
0.2225 0.1152 0.5915
0.2775 0.4085 0.8848
0.2159 0.7893 0.9678
0.2841 0.0322 0.2107
0.7841 0.2107 0.0322
0.7159 0.9678 0.7893

Sc2BeTe | Alexandria via LeMat-Bulk | PBE-GGA | relaxed; Fermi-level density of states = 3.320 states/eV/cell; SG = Immm; distance to the lowest polymorph of the same formula = 0.2329 eV/atom; energy = -20.517 eV/cell; E_form (uncorrected) = -0.2465 eV per atom
1.0
-3.2022 -0.8596 -3.9828
3.0098 -0.7416 -4.1529
-0.3009 -2.2218 4.6721
Sc Be Te
2 1 1
direct
0.0096 0.0096 0.0000
0.4904 0.4904 0.0000
0.2500 0.7500 0.5000
0.7500 0.2500 0.5000

> What is the formula in the first record?

Mg4PSe6

Repeat the sixth record exactly.
Sc2BeTe | Alexandria via LeMat-Bulk | PBE-GGA | relaxed; Fermi-level density of states = 3.320 states/eV/cell; SG = Immm; distance to the lowest polymorph of the same formula = 0.2329 eV/atom; energy = -20.517 eV/cell; E_form (uncorrected) = -0.2465 eV per atom
1.0
-3.2022 -0.8596 -3.9828
3.0098 -0.7416 -4.1529
-0.3009 -2.2218 4.6721
Sc Be Te
2 1 1
direct
0.0096 0.0096 0.0000
0.4904 0.4904 0.0000
0.2500 0.7500 0.5000
0.7500 0.2500 0.5000